(1)
## FeAg3Bi (GGA-PBE)

Data for a relaxed structure of FeAg3Bi.

Summary:
Crystal system: cubic
Energy: -3.407 eV per atom
E_form: 0.773 eV per atom

Cell: 4.889 4.889 4.889 Å, 90.00 90.00 90.00°
Fractional positions:
Fe1 0.000 0.000 0.000
Ag1 0.000 0.000 0.500
Ag2 0.000 0.500 0.000
Ag3 0.500 0.000 0.000
Bi1 0.500 0.500 0.500


(2)
## FeAgBi (GGA-PBE)

Data for a relaxed structure of FeAgBi.

Summary:
Crystal system: tetragonal
Energy: -4.638 eV per atom
E_form: 0.427 eV per atom

Cell: 4.274 4.274 6.429 Å, 90.00 90.00 90.00°
Fractional positions:
Fe1 0.250 0.750 0.000
Fe2 0.750 0.250 0.000
Ag1 0.250 0.250 0.278
Ag2 0.750 0.750 0.722
Bi1 0.250 0.250 0.744
Bi2 0.750 0.750 0.256


(3)
## Fe3AgBi (GGA-PBE)

Data for a relaxed structure of Fe3AgBi.

Summary:
Crystal system: cubic
Energy: -5.131 eV per atom
E_form: 1.293 eV per atom

Cell: 4.750 4.750 4.750 Å, 90.00 90.00 90.00°
Fractional positions:
Fe1 0.000 0.000 0.500
Fe2 0.000 0.500 0.000
Fe3 0.500 0.000 0.000
Ag1 0.000 0.000 0.000
Bi1 0.500 0.500 0.500